(1)
Density functional theory data (GGA-PBE) for RbTiCuS2 after structural relaxation.

CIF file:
```
data_RbTiCuS2
_space_group_name_H-M_alt 'C m m e'
_space_group_IT_number 67
_space_group_name_Hall '-C 2a 2'
_cell_length_a 5.888
_cell_length_b 14.361
_cell_length_c 5.358
_cell_angle_alpha 90.00
_cell_angle_beta 90.00
_cell_angle_gamma 90.00
loop_
_atom_site_label
_atom_site_type_symbol
_atom_site_fract_x
_atom_site_fract_y
_atom_site_fract_z
Rb1 Rb 0.000 0.250 0.228
Ti1 Ti 0.250 0.000 0.500
Cu1 Cu 0.000 0.000 0.000
S1 S 0.000 0.107 0.713
```

Values from the calculation:
V ... 22.65 Å³/atom
Crystal system ... orthorhombic
Formation energy from raw total energies ... -0.91 eV/atom

---

(2)
Density functional theory data (GGA-PBE) for Rb2TiCu2S4 after structural relaxation.

CIF file:
```
data_Rb2TiCu2S4
_space_group_name_H-M_alt 'C 1 2/m 1'
_space_group_IT_number 12
_space_group_name_Hall '-C 2y'
_cell_length_a 13.884
_cell_length_b 3.747
_cell_length_c 7.726
_cell_angle_alpha 90.00
_cell_angle_beta 107.87
_cell_angle_gamma 90.00
loop_
_atom_site_label
_atom_site_type_symbol
_atom_site_fract_x
_atom_site_fract_y
_atom_site_fract_z
Rb1 Rb 0.135 0.000 0.062
Ti1 Ti 0.000 0.000 0.500
Cu1 Cu 0.178 0.500 0.484
S1 S 0.016 0.500 0.291
S2 S 0.188 0.000 0.665
```

Values from the calculation:
V ... 21.25 Å³/atom
Crystal system ... monoclinic
Formation energy from raw total energies ... -0.94 eV/atom

---

(3)
Density functional theory data (GGA-PBE) for RbTlCuS2 after structural relaxation.

CIF file:
```
data_RbTlCuS2
_space_group_name_H-M_alt 'P 1 2/c 1'
_space_group_IT_number 13
_space_group_name_Hall '-P 2yc'
_cell_length_a 7.824
_cell_length_b 4.994
_cell_length_c 7.966
_cell_angle_alpha 90.00
_cell_angle_beta 109.84
_cell_angle_gamma 90.00
loop_
_atom_site_label
_atom_site_type_symbol
_atom_site_fract_x
_atom_site_fract_y
_atom_site_fract_z
Rb1 Rb 0.000 0.239 0.250
Tl1 Tl 0.500 0.404 0.750
Cu1 Cu 0.500 0.000 0.000
S1 S 0.277 0.256 0.998
```

Values from the calculation:
V ... 29.28 Å³/atom
Crystal system ... monoclinic
ΔE to the lowest computed polymorph ... 0 meV per atom
Formation energy from raw total energies ... -0.49 eV/atom

---

(4)
Density functional theory data (GGA-PBE) for RbTlCu2S2 after structural relaxation.

CIF file:
```
data_RbTlCu2S2
_space_group_name_H-M_alt 'P 1 21/m 1'
_space_group_IT_number 11
_space_group_name_Hall '-P 2yb'
_cell_length_a 7.516
_cell_length_b 5.109
_cell_length_c 9.743
_cell_angle_alpha 90.00
_cell_angle_beta 110.53
_cell_angle_gamma 90.00
loop_
_atom_site_label
_atom_site_type_symbol
_atom_site_fract_x
_atom_site_fract_y
_atom_site_fract_z
Rb1 Rb 0.197 0.250 0.407
Tl1 Tl 0.222 0.250 0.925
Cu1 Cu 0.494 0.501 0.230
S1 S 0.246 0.750 0.151
S2 S 0.265 0.750 0.669
```

Values from the calculation:
V ... 29.20 Å³/atom
Crystal system ... monoclinic
Formation energy from raw total energies ... -0.51 eV/atom

---

(5)
Density functional theory data (GGA-PBE) for RbTlCuS2 after structural relaxation.

CIF file:
```
data_RbTlCuS2
_space_group_name_H-M_alt 'P 4/m m m'
_space_group_IT_number 123
_space_group_name_Hall '-P 4 2'
_cell_length_a 5.368
_cell_length_b 5.368
_cell_length_c 5.020
_cell_angle_alpha 90.00
_cell_angle_beta 90.00
_cell_angle_gamma 90.00
loop_
_atom_site_label
_atom_site_type_symbol
_atom_site_fract_x
_atom_site_fract_y
_atom_site_fract_z
Rb1 Rb 0.000 0.000 0.000
Tl1 Tl 0.500 0.500 0.500
Cu1 Cu 0.500 0.500 0.000
S1 S 0.000 0.500 0.500
```

Values from the calculation:
V ... 28.93 Å³/atom
Crystal system ... tetragonal
ΔE to the lowest computed polymorph ... 615 meV per atom
Formation energy from raw total energies ... 0.13 eV/atom

---

(6)
Density functional theory data (GGA-PBE) for RbTmCuS3 after structural relaxation.

CIF file:
```
data_RbTmCuS3
_space_group_name_H-M_alt 'P 1 21/m 1'
_space_group_IT_number 11
_space_group_name_Hall '-P 2yb'
_cell_length_a 8.958
_cell_length_b 3.935
_cell_length_c 9.483
_cell_angle_alpha 90.00
_cell_angle_beta 109.86
_cell_angle_gamma 90.00
loop_
_atom_site_label
_atom_site_type_symbol
_atom_site_fract_x
_atom_site_fract_y
_atom_site_fract_z
Rb1 Rb 0.208 0.250 0.240
Tm1 Tm 0.329 0.750 0.860
Cu1 Cu 0.081 0.250 0.608
S1 S 0.123 0.250 0.860
S2 S 0.182 0.750 0.547
S3 S 0.470 0.750 0.158
```

Values from the calculation:
V ... 26.20 Å³/atom
Crystal system ... monoclinic
Formation energy from raw total energies ... -1.27 eV/atom

---

(7)
Density functional theory data (GGA-PBE) for Rb2TmCu2S4 after structural relaxation.

CIF file:
```
data_Rb2TmCu2S4
_space_group_name_H-M_alt 'C 1 2/m 1'
_space_group_IT_number 12
_space_group_name_Hall '-C 2y'
_cell_length_a 14.553
_cell_length_b 3.896
_cell_length_c 7.845
_cell_angle_alpha 90.00
_cell_angle_beta 108.30
_cell_angle_gamma 90.00
loop_
_atom_site_label
_atom_site_type_symbol
_atom_site_fract_x
_atom_site_fract_y
_atom_site_fract_z
Rb1 Rb 0.132 0.000 0.054
Tm1 Tm 0.000 0.000 0.500
Cu1 Cu 0.180 0.500 0.486
S1 S 0.023 0.500 0.278
S2 S 0.199 0.000 0.661
```

Values from the calculation:
V ... 23.46 Å³/atom
Crystal system ... monoclinic
Formation energy from raw total energies ... -1.12 eV/atom

---

(8)
Density functional theory data (GGA-PBE) for Rb2U3CuS8 after structural relaxation.

CIF file:
```
data_Rb2U3CuS8
_space_group_name_H-M_alt 'R 3 m'
_space_group_IT_number 160
_space_group_name_Hall 'R 3 -2"'
_cell_length_a 7.9447
_cell_length_b 7.9447
_cell_length_c 24.4796
_cell_angle_alpha 90.00
_cell_angle_beta 90.00
_cell_angle_gamma 120.00
loop_
_atom_site_label
_atom_site_type_symbol
_atom_site_fract_x
_atom_site_fract_y
_atom_site_fract_z
Rb1 Rb 0.0000 0.0000 0.0000
Rb2 Rb 0.0000 0.0000 0.3605
U1 U 0.0010 0.5005 0.8593
Cu1 Cu 0.0000 0.0000 0.8064
S1 S 0.0000 0.0000 0.1335
S2 S 0.0000 0.0000 0.5836
S3 S 0.0009 0.5004 0.1338
S4 S 0.1827 0.3653 0.9188
```

Values from the calculation:
V ... 31.86 Å³/atom
Crystal system ... trigonal
Formation energy from raw total energies ... -1.23 eV/atom

---

> What is the V in the fifth record?

28.93 Å³/atom

---

Please write out number 3 again, unchanged.
Density functional theory data (GGA-PBE) for RbTlCuS2 after structural relaxation.

CIF file:
```
data_RbTlCuS2
_space_group_name_H-M_alt 'P 1 2/c 1'
_space_group_IT_number 13
_space_group_name_Hall '-P 2yc'
_cell_length_a 7.824
_cell_length_b 4.994
_cell_length_c 7.966
_cell_angle_alpha 90.00
_cell_angle_beta 109.84
_cell_angle_gamma 90.00
loop_
_atom_site_label
_atom_site_type_symbol
_atom_site_fract_x
_atom_site_fract_y
_atom_site_fract_z
Rb1 Rb 0.000 0.239 0.250
Tl1 Tl 0.500 0.404 0.750
Cu1 Cu 0.500 0.000 0.000
S1 S 0.277 0.256 0.998
```

Values from the calculation:
V ... 29.28 Å³/atom
Crystal system ... monoclinic
ΔE to the lowest computed polymorph ... 0 meV per atom
Formation energy from raw total energies ... -0.49 eV/atom

---

Copy entry 6 word for word.
Density functional theory data (GGA-PBE) for RbTmCuS3 after structural relaxation.

CIF file:
```
data_RbTmCuS3
_space_group_name_H-M_alt 'P 1 21/m 1'
_space_group_IT_number 11
_space_group_name_Hall '-P 2yb'
_cell_length_a 8.958
_cell_length_b 3.935
_cell_length_c 9.483
_cell_angle_alpha 90.00
_cell_angle_beta 109.86
_cell_angle_gamma 90.00
loop_
_atom_site_label
_atom_site_type_symbol
_atom_site_fract_x
_atom_site_fract_y
_atom_site_fract_z
Rb1 Rb 0.208 0.250 0.240
Tm1 Tm 0.329 0.750 0.860
Cu1 Cu 0.081 0.250 0.608
S1 S 0.123 0.250 0.860
S2 S 0.182 0.750 0.547
S3 S 0.470 0.750 0.158
```

Values from the calculation:
V ... 26.20 Å³/atom
Crystal system ... monoclinic
Formation energy from raw total energies ... -1.27 eV/atom